[1]
Crystalline NdAs at its relaxed geometry, computed with PBE-GGA.

E (eV per atom): -5.60
Crystal system: orthorhombic
Density (g cm⁻³): 6.852
Calculated volume (Å³ per cell): 212.44

Cell and atoms, written as POSCAR:
```
NdAs
1.0
6.433 0.000 0.000
0.000 5.766 0.000
0.000 0.000 5.728
Nd As
4 4
direct
0.000 0.000 0.000 Nd
0.250 0.500 0.353 Nd
0.500 0.000 0.000 Nd
0.750 0.500 0.647 Nd
0.250 0.000 0.484 As
0.250 0.500 0.857 As
0.750 0.000 0.516 As
0.750 0.500 0.143 As
```

=====

[2]
Crystalline Ga2AgAuS4 at its relaxed geometry, computed with PBE-GGA.

E (eV per atom): -3.96
Crystal system: hexagonal
Distance to the lowest polymorph of the same formula (meV per atom): 57
Density (g cm⁻³): 5.721
Calculated volume (Å³ per cell): 166.17

Cell and atoms, written as POSCAR:
```
Ga2AgAuS4
1.0
3.628 0.000 0.000
-1.814 3.142 0.000
0.000 0.000 14.580
Ga Ag Au S
2 1 1 4
direct
0.000 0.000 0.248 Ga
0.000 0.000 0.752 Ga
0.333 0.667 0.500 Ag
0.667 0.333 0.000 Au
0.333 0.667 0.338 S
0.333 0.667 0.662 S
0.667 0.333 0.159 S
0.667 0.333 0.841 S
```

=====

[3]
Crystalline ScTaNiB at its relaxed geometry, computed with PBE-GGA.

E (eV per atom): -7.58
Crystal system: cubic
Distance to the lowest polymorph of the same formula (meV per atom): 0
Density (g cm⁻³): 8.887
Calculated volume (Å³ per cell): 55.20

Cell and atoms, written as POSCAR:
```
ScTaNiB
1.0
0.000 3.022 3.022
3.022 0.000 3.022
3.022 3.022 0.000
Sc Ta Ni B
1 1 1 1
direct
0.000 0.000 0.000 Sc
0.500 0.500 0.500 Ta
0.250 0.250 0.250 Ni
0.750 0.750 0.750 B
```

=====

The lowest calculated volume belongs to which entry? ScTaNiB